The following is a PBE-GGA calculation of a relaxed CaTb2In2Ag2 crystal, from Alexandria.

Unit cell a=4.8889 b=4.8889 c=9.5179 alpha=75.12 beta=75.12 gamma=60.00
With the nearest neighbours (Å) after each atom.
Element x y z (fractional)
1 In 0.2564 0.2564 0.2308  3 Ag 2.82, 3 Tb 3.14
2 In 0.7436 0.7436 0.7692  3 Ag 2.82, 3 Tb 3.14
3 Ag 0.4067 0.4067 0.7798  3 In 2.82
4 Ag 0.5933 0.5933 0.2202  3 In 2.82
5 Tb 0.1272 0.1272 0.6183  3 In 3.14, 3 Ag 3.18, 1 Ca 3.47
6 Tb 0.8728 0.8728 0.3817  3 In 3.14, 3 Ag 3.18, 1 Ca 3.47
7 Ca 0.0000 0.0000 0.0000  6 Ag 3.46, 2 Tb 3.47, 6 In 3.52

Values from the calculation:
The space group is R-3m, No. 166. The energy of formation is -275 meV per atom. Its crystal system is trigonal.

***

The following is a PBE-GGA calculation of a relaxed SnSe2SN crystal, from Alexandria.

Unit cell a=5.3700 b=5.3700 c=3.9288 alpha=90.00 beta=90.00 gamma=90.00
With the nearest neighbours (Å) after each atom.
Element x y z (fractional)
1 Sn 0.0000 0.0000 0.0000  2 N 1.96
2 S 0.5000 0.5000 0.5000  8 Se 3.33
3 N 0.0000 0.0000 0.5000  2 Sn 1.96
4 Se 0.0000 0.5000 0.0000  2 Sn 2.69
5 Se 0.5000 0.0000 0.0000  2 Sn 2.69

Values from the calculation:
The space group is P4/mmm, No. 123. As for the distance to the lowest polymorph of the same formula: 0.489 eV per atom. Its formation energy (no corrections) is 1.172 eV per atom. Its crystal system is tetragonal.

***

The records above give, respectively, uncorrected energy values of -3.481 -3.513 eV/atom.
The records above give, respectively, total magnetization values of 0.0 0.0 μB per cell.